KMnHg3 PBE optimized geometry; magnetic moment = 3.57 μB per cell; energy relative to the elements = 0.077 eV per atom; energy above the most stable polymorph in this dataset = 0 meV/atom; calculated volume = 152.7 Å³/cell; electronic total energy = -2.157 eV/atom; SG = Pm-3m (221)
1.0
5.3446 0.0000 0.0000
0.0000 5.3446 0.0000
0.0000 0.0000 5.3446
K Mn Hg
1 1 3
Cartesian
0.0000 0.0000 0.0000
2.6723 2.6723 2.6723
0.0000 2.6723 2.6723
2.6723 0.0000 2.6723
2.6723 2.6723 0.0000

***

LiHfScFe PBE optimized geometry; magnetic moment = 0.00 μB per cell; energy relative to the elements = -0.044 eV per atom; calculated volume = 65.0 Å³/cell; electronic total energy = -6.709 eV/atom; SG = F-43m (216)
1.0
0.0000 3.1917 3.1917
3.1917 0.0000 3.1917
3.1917 3.1917 0.0000
Li Hf Sc Fe
1 1 1 1
Cartesian
0.0000 0.0000 0.0000
4.7876 4.7876 4.7876
1.5959 1.5959 1.5959
3.1917 3.1917 3.1917

***

CaAsSe3 PBE optimized geometry; magnetic moment = 0.00 μB per cell; formation energy from raw total energies = -0.4580 eV/atom; calculated volume = 131.4 Å³/cell; electronic total energy = -3.879 eV/atom; SG = Pm-3m (221)
1.0
5.0842 0.0000 0.0000
0.0000 5.0842 0.0000
0.0000 0.0000 5.0842
Ca As Se
1 1 3
Cartesian
0.0000 0.0000 0.0000
2.5421 2.5421 2.5421
0.0000 2.5421 2.5421
2.5421 0.0000 2.5421
2.5421 2.5421 0.0000

***

Pr8SnTe4S3 PBE optimized geometry; magnetic moment = 0.00 μB per cell; formation energy from raw total energies = -1.5745 eV/atom; calculated volume = 478.0 Å³/cell; electronic total energy = -5.774 eV/atom; SG = R-3m (166)
1.0
4.3319 2.5010 7.3532
-4.3319 2.5010 7.3532
0.0000 -5.0020 7.3532
Pr Sn Te S
8 1 4 3
Cartesian
-2.2525 -1.3005 12.6470
0.0000 0.0000 5.2130
0.0000 -2.6010 9.4127
-2.2525 1.3005 9.4127
2.2525 -1.3005 12.6470
0.0000 2.6010 12.6470
0.0000 0.0000 16.8467
2.2525 1.3005 9.4127
0.0000 0.0000 11.0299
0.0000 0.0000 0.0000
-2.1659 -1.2505 7.3532
-2.1659 1.2505 14.7065
0.0000 2.5010 7.3532
-4.3319 0.0000 11.0298
-2.1659 1.2505 3.6766
2.1659 1.2505 3.6766

***

K2SnB2S6 PBE optimized geometry; magnetic moment = 0.00 μB per cell; formation energy from raw total energies = -0.5755 eV/atom; calculated volume = 266.7 Å³/cell; electronic total energy = -4.604 eV/atom; SG = C2/m (12)
1.0
5.7170 -3.2476 0.0000
5.7170 3.2476 0.0000
-3.4079 0.0000 7.1830
K Sn B S
2 1 2 6
Cartesian
1.6018 0.0000 1.3550
6.4243 0.0000 5.8280
-1.7039 0.0000 3.5915
2.6304 0.0000 5.0415
5.3957 0.0000 2.1415
4.4681 1.5307 1.7004
0.8739 0.0000 4.7008
3.5580 1.5307 5.4826
4.4681 -1.5307 1.7004
7.1522 0.0000 2.4822
3.5580 -1.5307 5.4826

***

Zn2Cd4Ag5 PBE optimized geometry; magnetic moment = 0.00 μB per cell; energy relative to the elements = -0.018 eV per atom; energy above the most stable polymorph in this dataset = 0 meV/atom; calculated volume = 203.8 Å³/cell; electronic total energy = -1.879 eV/atom; SG = P-1 (2)
1.0
4.7226 0.0000 0.0000
1.8939 5.0230 0.0000
0.2210 0.4789 8.5917
Zn Cd Ag
2 4 5
Cartesian
1.1083 1.5592 1.0773
5.7292 3.9428 7.5144
1.2958 1.1858 6.6492
3.4211 3.3264 5.8962
3.4165 2.1756 2.6955
5.5417 4.3161 1.9425
1.0574 2.7510 4.2959
3.1783 5.0407 3.4626
3.1446 3.9152 0.3022
3.6929 1.5867 8.2895
3.6592 0.4613 5.1291

***

Li2MnPbBr6 PBE optimized geometry; magnetic moment = 5.00 μB per cell; formation energy from raw total energies = -1.0878 eV/atom; calculated volume = 278.0 Å³/cell; electronic total energy = -3.762 eV/atom; SG = R3 (146)
1.0
3.5229 2.0340 6.4675
-3.5229 2.0340 6.4675
0.0000 -4.0679 6.4675
Li Mn Pb Br
2 1 1 6
Cartesian
0.0000 0.0000 0.0000
0.0000 0.0000 9.5978
0.0000 0.0000 13.3280
0.0000 0.0000 3.7383
-1.1844 -2.0505 8.1909
-2.0878 -0.2225 11.5856
-1.1836 2.0509 8.1909
1.2366 -1.6969 11.5856
2.3679 -0.0005 8.1909
0.8512 1.9194 11.5856

***

LaTiH2N PBE optimized geometry; magnetic moment = 0.00 μB per cell; calculated volume = 58.9 Å³/cell; electronic total energy = -6.459 eV/atom; SG = P4/mmm (123)
1.0
3.7953 0.0000 0.0000
0.0000 3.7953 0.0000
0.0000 0.0000 4.0906
La Ti H N
1 1 2 1
Cartesian
0.0000 0.0000 0.0000
1.8976 1.8976 2.0453
0.0000 1.8976 2.0453
1.8976 0.0000 2.0453
1.8976 1.8976 0.0000

***

magnetic moment of number 1 (KMnHg3)? 3.57 μB per cell

***

What is the formula in the fifth record? K2SnB2S6

***

Number 8 is which compound? LaTiH2N